(1)
PmNdV (PBE, optimized geometry); size of the total moment = 0.00 μB per cell; DFT formation energy = 390 meV per atom; uncorrected energy = -5.823 eV/atom; calculated density = 6.7 g/cm³
1.0
-0.889 -4.003 -1.601
1.695 -2.582 3.136
-8.199 3.258 3.495
V Pm Nd
2 2 2
direct
0.141 0.141 0.500 V
0.859 0.859 0.500 V
0.185 0.185 0.875 Pm
0.815 0.815 0.125 Pm
0.408 0.408 0.313 Nd
0.592 0.592 0.687 Nd

(2)
TlZnF2 (PBE, optimized geometry); size of the total moment = 0.00 μB per cell; uncorrected energy = -3.355 eV/atom; E_form (uncorrected) = -6.04 eV per formula unit; calculated density = 7.5 g/cm³
1.0
4.336 0.000 0.000
0.000 5.914 0.000
0.000 0.000 10.596
Zn F Tl
4 8 4
direct
0.250 0.107 0.388 Zn
0.250 0.607 0.112 Zn
0.750 0.393 0.888 Zn
0.750 0.893 0.612 Zn
0.750 0.052 0.424 F
0.750 0.694 0.791 F
0.250 0.806 0.291 F
0.750 0.552 0.076 F
0.750 0.194 0.709 F
0.250 0.306 0.209 F
0.250 0.948 0.576 F
0.250 0.448 0.924 F
0.750 0.546 0.388 Tl
0.750 0.046 0.112 Tl
0.250 0.454 0.612 Tl
0.250 0.954 0.888 Tl

(3)
BaYRe2 (PBE, optimized geometry); size of the total moment = 0.00 μB per cell; DFT formation energy = 766 meV per atom; uncorrected energy = -7.555 eV/atom; calculated density = 9.1 g/cm³
1.0
-2.464 2.989 -0.632
-2.913 -2.543 -0.671
-1.671 0.088 6.923
Re Ba Y
2 1 1
direct
0.000 0.000 0.090 Re
0.000 0.000 0.410 Re
0.500 0.500 0.750 Ba
0.500 0.500 0.250 Y